{"formula": "BaAgSO", "functional": "PBE", "state": "optimized geometry", "lattice_angstrom": [[-2.127, -3.170, -5.113], [8.657, -3.044, -1.714], [-1.079, -5.101, 3.611]], "species": ["Ag", "Ag", "Ag", "Ag", "Ba", "Ba", "Ba", "Ba", "O", "O", "O", "O", "S", "S", "S", "S"], "fractional_positions": [[0.445, 0.087, 0.016], [0.945, 0.913, 0.016], [0.055, 0.087, 0.516], [0.555, 0.913, 0.516], [0.999, 0.310, 0.027], [0.499, 0.690, 0.027], [0.501, 0.310, 0.527], [0.001, 0.690, 0.527], [0.133, 0.067, 0.180], [0.633, 0.933, 0.180], [0.367, 0.067, 0.680], [0.867, 0.933, 0.680], [0.504, 0.350, 0.027], [0.004, 0.650, 0.027], [0.996, 0.350, 0.527], [0.496, 0.650, 0.527]], "energy_ev_per_atom": -4.47}